# ThPd4Pt2

Crystalline ThPd4Pt2 at its relaxed geometry (PBE, Alexandria via LeMat-Bulk).

abc: 7.580 7.580 4.478
angles: 90.00 90.00 90.00
Sites, in units of the cell vectors:
Th1 0.000 0.000 0.000
Th2 0.500 0.500 0.500
Pd1 0.120 0.376 0.500
Pd2 0.124 0.620 0.000
Pd3 0.376 0.120 0.500
Pd4 0.380 0.876 0.000
Pd5 0.620 0.124 0.000
Pd6 0.624 0.880 0.500
Pd7 0.876 0.380 0.000
Pd8 0.880 0.624 0.500
Pt1 0.199 0.801 0.500
Pt2 0.301 0.301 0.000
Pt3 0.699 0.699 0.000
Pt4 0.801 0.199 0.500

## Properties
V (Å³/cell): 257.3
M_tot (μB per cell): 0.00
Relative energy among the computed polymorphs (eV/atom): 0.018
Energy of formation (eV per atom): -0.511